1.
The following is a DFT calculation (PBE-GGA) of an optimized crystal structure of NdRe4P2.

Cell lengths 7.247, 7.247, 4.045 Å; angles 90.00, 90.00, 147.33 degrees
Fractional positions:
Nd (0.000, 0.000, 0.000)
Re (0.183, 0.817, 0.500)
Re (0.306, 0.694, 0.000)
Re (0.694, 0.306, 0.000)
Re (0.817, 0.183, 0.500)
P (0.411, 0.589, 0.500)
P (0.589, 0.411, 0.500)

=====

2.
The following is a DFT calculation (PBE-GGA) of an optimized crystal structure of SmAlGe.

Cell lengths 7.675, 7.675, 4.127 Å; angles 90.00, 90.00, 120.00 degrees
Fractional positions:
Sm (0.000, 0.722, 0.000)
Sm (0.278, 0.278, 0.000)
Sm (0.722, 0.000, 0.000)
Al (0.000, 0.401, 0.500)
Al (0.401, 0.000, 0.500)
Al (0.599, 0.599, 0.500)
Ge (0.000, 0.000, 0.500)
Ge (0.333, 0.667, 0.000)
Ge (0.667, 0.333, 0.000)

=====

3.
The following is a DFT calculation (PBE-GGA) of an optimized crystal structure of AlFe2Mo.

Cell lengths 4.184, 4.184, 4.184 Å; angles 60.00, 60.00, 60.00 degrees
Fractional positions:
Al (0.000, 0.000, 0.000)
Fe (0.250, 0.250, 0.250)
Fe (0.500, 0.500, 0.500)
Mo (0.750, 0.750, 0.750)

=====

4.
The following is a DFT calculation (PBE-GGA) of an optimized crystal structure of Hf4Zr2Ga3C3.

Cell lengths 5.715, 5.715, 14.479 Å; angles 101.36, 101.36, 60.03 degrees
Fractional positions:
Hf (0.028, 0.197, 0.087)
Hf (0.139, 0.304, 0.413)
Hf (0.197, 0.028, 0.587)
Hf (0.304, 0.139, 0.913)
Hf (0.696, 0.861, 0.087)
Hf (0.803, 0.972, 0.413)
Hf (0.861, 0.696, 0.587)
Hf (0.972, 0.803, 0.913)
Zr (0.365, 0.531, 0.092)
Zr (0.469, 0.635, 0.408)
Zr (0.531, 0.365, 0.592)
Zr (0.635, 0.469, 0.908)
Ga (0.068, 0.932, 0.250)
Ga (0.231, 0.419, 0.750)
Ga (0.419, 0.231, 0.250)
Ga (0.581, 0.769, 0.750)
Ga (0.769, 0.581, 0.250)
Ga (0.932, 0.068, 0.750)
C (0.000, 0.500, 0.000)
C (0.163, 0.669, 0.500)
C (0.331, 0.837, 0.000)
C (0.500, 0.000, 0.500)
C (0.669, 0.163, 0.000)
C (0.837, 0.331, 0.500)

=====

Calculated DFT total energy, -69.2; -41.6; -31.4; -205.5 eV/cell (same order as the records).
Calculated M_tot, 0.000; 0.001; 0.826; 0.000 μB per atom (same order as the records).
Calculated V, 114.7; 210.5; 51.8; 398.9 Å³/cell (same order as the records).